This record from Alexandria via LeMat-Bulk describes crystalline Cs3La3OsO8 at its relaxed geometry. The functional is PBE-GGA.

## Properties
- N(E_F) (states/eV/f.u.) = 2.44
- formation energy without anion corrections (eV/atom) = -2.183
- symmetry = R-3m

```
15
Lattice="7.2648 0.0000 0.0000 -3.6324 6.2918 -0.0229 0.0000 -4.1711 6.9155" Properties=species:S:1:pos:R:3 pbc="T T T"
Cs 0.0000 0.0000 0.0000
Cs -1.8162 3.1459 -0.0114
Cs 1.8162 3.1459 -0.0114
La 3.6324 -2.0855 3.4577
La 1.8162 1.0603 3.4463
La -1.8162 1.0603 3.4463
Os 0.0000 -2.0855 3.4577
O 0.0000 2.1049 2.2821
O 3.6324 0.0158 4.6105
O 3.6324 2.3558 2.3998
O 0.0000 -0.2351 4.4928
O 5.6662 -1.1665 2.4126
O -2.0339 3.2872 4.4800
O 1.5985 -1.1664 2.4126
O 2.0338 3.2871 4.4800
```